Here is YSe2O6 after structural relaxation from the Alexandria database. Energies are from GGA-PBE.

Cell: 8.711 10.235 7.969 Å, 90.00 114.22 90.00°
Space group C2/c (No. 15)
Unique sites:
Y1 0.000 0.041 0.250 x4
Se1 0.197 0.370 0.265 x8
O1 0.102 0.098 0.569 x8
O2 0.182 0.205 0.255 x8
O3 0.232 0.429 0.084 x8

Properties
- crystal system = monoclinic
- total energy (eV/atom) = -6.2577
- DOS at the Fermi energy (states/eV per atom) = 0.32
- formation energy without anion corrections (meV per atom) = -1460


Here is AlReOF2 after structural relaxation from the Alexandria database. Energies are from GGA-PBE.

Cell: 4.259 4.259 3.452 Å, 90.00 90.00 90.00°
Space group P4/mmm (No. 123)
Unique sites:
Al1 0.000 0.000 0.000 x1
Re1 0.500 0.500 0.500 x1
O1 0.000 0.000 0.500 x1
F1 0.000 0.500 0.000 x2

Properties
- crystal system = tetragonal
- total energy (eV/atom) = -5.9364
- energy relative to the lowest polymorph listed for this composition (eV per atom) = 0.000
- DOS at the Fermi energy (states/eV per atom) = 0.29
- formation energy without anion corrections (meV per atom) = -958


Here is Li3Ag6Sn2 after structural relaxation from the Alexandria database. Energies are from GGA-PBE.

Cell: 4.929 6.822 6.952 Å, 108.95 106.09 100.18°
Space group P-1 (No. 2)
Unique sites:
Li1 0.000 0.000 0.000 x1
Li2 0.088 0.810 0.370 x2
Ag1 0.178 0.659 0.715 x2
Ag2 0.355 0.239 0.447 x2
Ag3 0.446 0.100 0.816 x2
Sn1 0.280 0.448 0.116 x2

Properties
- crystal system = triclinic
- total energy (eV/atom) = -2.9414
- DOS at the Fermi energy (states/eV per atom) = 0.26
- formation energy from the elements (eV per atom) = -0.14


Here is MoRh2 after structural relaxation from the Alexandria database. Energies are from GGA-PBE.

Cell: 2.707 3.998 17.795 Å, 90.00 90.00 90.00°
Space group Imma (No. 74)
Unique sites:
Mo1 0.000 0.250 0.109 x4
Rh1 0.000 0.250 0.544 x4
Rh2 0.000 0.250 0.690 x4

Properties
- crystal system = orthorhombic
- total energy (eV/atom) = -8.3711
- DOS at the Fermi energy (states/eV per atom) = 0.83
- formation energy from the elements (eV per atom) = 0.14


Here is Sb2TeIrBr after structural relaxation from the Alexandria database. Energies are from GGA-PBE.

Cell: 5.318 5.318 5.438 Å, 90.00 90.00 90.00°
Space group P4/mmm (No. 123)
Unique sites:
Sb1 0.000 0.500 0.000 x2
Te1 0.000 0.000 0.500 x1
Ir1 0.500 0.500 0.500 x1
Br1 0.000 0.000 0.000 x1

Properties
- crystal system = tetragonal
- total energy (eV/atom) = -2.6752
- energy relative to the lowest polymorph listed for this composition (eV per atom) = 1.304
- DOS at the Fermi energy (states/eV per atom) = 1.13
- formation energy without anion corrections (meV per atom) = 1709


Here is K2AgBrCl2 after structural relaxation from the Alexandria database. Energies are from GGA-PBE.

Cell: 14.408 9.429 6.319 Å, 90.00 90.00 90.00°
Space group Cmc2_1 (No. 36)
Unique sites:
K1 0.167 0.160 0.000 x8
Ag1 0.000 0.334 0.464 x4
Br1 0.000 0.381 0.017 x4
Cl1 0.150 0.169 0.502 x8

Properties
- crystal system = orthorhombic
- total energy (eV/atom) = -3.0983
- DOS at the Fermi energy (states/eV per atom) = 0.00
- formation energy without anion corrections (meV per atom) = -1363


Look up the DOS at the Fermi energy of the fifth one. 1.13 states/eV per atom